1.
A plane-wave DFT calculation with PBE-GGA was carried out for a geometry-optimized Re2AgCl structure.

Cell: 9.249 9.249 9.249 Å, 18.01 18.01 18.01°
Element x y z (fractional)
Re1 0.000 0.000 0.000
Re2 0.259 0.259 0.259
Ag1 0.503 0.503 0.503
Cl1 0.739 0.739 0.739

Summary:
Its energy above the lowest structure with this stoichiometry is 64 meV per atom. The energy relative to the elements, uncorrected is 310 meV/atom.

2.
A plane-wave DFT calculation with PBE-GGA was carried out for a geometry-optimized ReAgCl4 structure.

Cell: 7.944 7.203 9.073 Å, 110.35 104.81 119.27°
Element x y z (fractional)
Ag1 0.465 0.196 0.849
Ag2 0.535 0.804 0.151
Cl1 0.118 0.771 0.773
Cl2 0.665 0.991 0.789
Cl3 0.335 0.009 0.211
Cl4 0.882 0.229 0.227
Cl5 0.836 0.711 0.148
Cl6 0.164 0.289 0.852
Cl7 0.622 0.482 0.717
Cl8 0.378 0.518 0.283
Re1 0.986 0.828 0.974
Re2 0.014 0.172 0.026

Summary:
Its energy above the lowest structure with this stoichiometry is 0 meV per atom. The energy relative to the elements, uncorrected is -549 meV/atom.

Number 1: DFT total energy -7.09 eV per atom. Number 2: DFT total energy -4.33 eV per atom.